[1]
First-principles (PBE) data for NaLuCoTe3 after structural relaxation, as listed in OQMD via LeMat-Bulk.

Structure (POSCAR):
```
NaLuCoTe3
1.0
-5.710 2.102 -4.756
-5.327 -1.950 -5.241
-7.284 -1.648 8.015
Lu Te Na Co
2 6 2 2
Direct
0.000 0.000 0.000
0.000 0.000 0.500
0.917 0.917 0.750
0.636 0.636 0.928
0.364 0.364 0.428
0.636 0.636 0.572
0.364 0.364 0.072
0.083 0.083 0.250
0.760 0.760 0.250
0.240 0.240 0.750
0.477 0.477 0.250
0.523 0.523 0.750
```

Values from the calculation:
excess energy over the best structure of this formula in the dataset	31	meV/atom
electronic total energy	-4.46	eV/atom

***

[2]
First-principles (PBE) data for NaLuCoTe3 after structural relaxation, as listed in OQMD via LeMat-Bulk.

Structure (POSCAR):
```
NaLuCoTe3
1.0
9.092 0.000 0.000
0.000 4.122 0.000
-2.725 0.000 9.294
Na Te Co Lu
2 6 2 2
Direct
0.195 0.250 0.730
0.805 0.750 0.270
0.791 0.250 0.977
0.557 0.250 0.323
0.910 0.750 0.643
0.443 0.750 0.677
0.090 0.250 0.357
0.209 0.750 0.023
0.924 0.750 0.914
0.076 0.250 0.086
0.327 0.750 0.353
0.673 0.250 0.647
```

Values from the calculation:
excess energy over the best structure of this formula in the dataset	0	meV/atom
electronic total energy	-4.49	eV/atom

***

[3]
First-principles (PBE) data for Lu2NbCo after structural relaxation, as listed in OQMD via LeMat-Bulk.

Structure (POSCAR):
```
Lu2NbCo
1.0
-2.508 0.100 4.077
-4.784 -0.121 -0.129
-2.336 -3.911 1.470
Nb Lu Co
1 2 1
Direct
0.500 0.500 0.500
0.750 0.750 0.750
0.000 0.000 0.000
0.250 0.250 0.250
```

Values from the calculation:
electronic total energy	-6.18	eV/atom
formation energy from the elements	379	meV per atom

***

[4]
First-principles (PBE) data for LuNbCo2 after structural relaxation, as listed in OQMD via LeMat-Bulk.

Structure (POSCAR):
```
LuNbCo2
1.0
0.000 3.116 3.116
3.116 0.000 3.116
3.116 3.116 0.000
Nb Co Lu
1 2 1
Direct
0.500 0.500 0.500
0.750 0.750 0.750
0.000 0.000 0.000
0.250 0.250 0.250
```

Values from the calculation:
electronic total energy	-6.97	eV/atom
formation energy from the elements	241	meV per atom

***

[5]
First-principles (PBE) data for LuNbCoSb after structural relaxation, as listed in OQMD via LeMat-Bulk.

Structure (POSCAR):
```
LuNbCoSb
1.0
-4.082 -1.937 -1.281
-3.198 -1.109 3.257
-3.979 2.476 0.324
Co Sb Lu Nb
1 1 1 1
Direct
0.750 0.750 0.750
0.000 0.000 0.000
0.500 0.500 0.500
0.250 0.250 0.250
```

Values from the calculation:
excess energy over the best structure of this formula in the dataset	0	meV/atom
electronic total energy	-6.34	eV/atom

***

[6]
First-principles (PBE) data for LuNbCoSi after structural relaxation, as listed in OQMD via LeMat-Bulk.

Structure (POSCAR):
```
LuNbCoSi
1.0
0.000 3.214 3.214
3.214 0.000 3.214
3.214 3.214 0.000
Co Si Lu Nb
1 1 1 1
Direct
0.750 0.750 0.750
0.000 0.000 0.000
0.250 0.250 0.250
0.500 0.500 0.500
```

Values from the calculation:
excess energy over the best structure of this formula in the dataset	201	meV/atom
electronic total energy	-6.53	eV/atom